[1]
The following is a PBE calculation of a geometry-optimized NaSc3Ti structure, from the Alexandria database.

Lattice parameters (Å, degrees): 5.183 5.183 5.183 90.00 90.00 90.00
Sites, in units of the cell vectors:
Ti 0.000 0.000 0.000
Sc 0.500 0.000 0.000
Sc 0.000 0.500 0.000
Na 0.500 0.500 0.500
Sc 0.000 0.000 0.500

**Energy of formation**: 0.586 eV/atom
**SG**: No. 221

=====

[2]
The following is a PBE calculation of a geometry-optimized Y7P structure, from the Alexandria database.

Lattice parameters (Å, degrees): 6.877 6.877 6.877 60.00 60.00 60.00
Site moments in Bohr magnetons follow the coordinates.
Sites, in units of the cell vectors:
Y 0.000 0.500 0.000  0.06
Y 0.000 0.500 0.500  0.06
P 0.000 0.000 0.000  -0.01
Y 0.000 0.000 0.500  0.06
Y 0.500 0.500 0.500  0.01
Y 0.500 0.500 0.000  0.06
Y 0.500 0.000 0.000  0.06
Y 0.500 0.000 0.500  0.06

**Energy of formation**: -0.059 eV/atom
**SG**: No. 225

=====

[3]
The following is a PBE calculation of a geometry-optimized YThCdPb structure, from the Alexandria database.

Lattice parameters (Å, degrees): 5.448 5.448 5.448 60.00 60.00 60.00
Sites, in units of the cell vectors:
Th 0.250 0.250 0.250
Cd 0.000 0.000 0.000
Pb 0.500 0.500 0.500
Y 0.750 0.750 0.750

**Energy of formation**: -0.245 eV/atom
**SG**: No. 216

=====

[4]
The following is a PBE calculation of a geometry-optimized Na2TaBr structure, from the Alexandria database.

Lattice parameters (Å, degrees): 5.480 5.480 5.480 60.00 60.00 60.00
Site moments in Bohr magnetons follow the coordinates.
Sites, in units of the cell vectors:
Na 0.250 0.250 0.250  0.04
Na 0.750 0.750 0.750  0.04
Ta 0.500 0.500 0.500  2.30
Br 0.000 0.000 0.000  0.01

**Raw formation energy**: 92.7 kJ per mole of atoms
**SG**: No. 225

=====

[5]
The following is a PBE calculation of a geometry-optimized BaSrIn2Hg2 structure, from the Alexandria database.

Lattice parameters (Å, degrees): 5.138 5.138 8.338 90.00 90.00 120.00
Sites, in units of the cell vectors:
Ba 0.000 0.000 0.000
Hg 0.333 0.667 0.714
In 0.667 0.333 0.717
In 0.333 0.667 0.283
Sr 0.000 0.000 0.500
Hg 0.667 0.333 0.286

**Energy of formation**: -0.470 eV/atom
**SG**: No. 164

=====

[6]
The following is a PBE calculation of a geometry-optimized TlCoSb2 structure, from the Alexandria database.

Lattice parameters (Å, degrees): 6.391 6.391 7.461 64.64 64.64 90.00
Sites, in units of the cell vectors:
Sb 0.216 0.625 0.250
Sb 0.534 0.125 0.250
Tl 0.750 0.250 0.500
Tl 0.000 0.000 0.000
Sb 0.375 0.466 0.750
Co 0.500 0.500 0.000
Co 0.250 0.750 0.500
Sb 0.875 0.784 0.750

**Raw formation energy**: 21.6 kJ per mole of atoms
**SG**: No. 122

=====

no.,mass density (Mg/m³)
1,2.45
2,4.72
3,9.30
4,4.38
5,7.45
6,6.94